Entry 1:
The following is a PBE calculation of a relaxed structure of TbPrTm2, from Alexandria.

Geometry as POSCAR:
```
TbPrTm2
1.0
-0.012 1.975 -4.595
-0.402 -4.631 -1.989
-5.040 0.364 0.170
Pr Tm Tb
1 2 1
direct
0.500 0.000 0.000
0.000 0.000 0.500
0.000 0.500 0.000
0.500 0.500 0.500
```

Calculated values
* polymorph energy (0 for the lowest one): 21 meV/atom
* total DFT energy (no corrections): -4.562 eV/atom
* formation energy from the elements: 0.026 eV/atom

=====

Entry 2:
The following is a PBE calculation of a relaxed structure of Tb5Pr2Tm3, from Alexandria.

Geometry as POSCAR:
```
Tb5Pr2Tm3
1.0
8.381 1.571 -3.903
0.292 8.533 -4.008
-1.721 -1.909 10.837
Tb Pr Tm
10 4 6
direct
0.280 0.530 0.060
0.720 0.470 0.940
0.018 0.768 0.536
0.524 0.274 0.547
0.982 0.232 0.464
0.476 0.726 0.453
0.871 0.614 0.769
0.129 0.386 0.231
0.398 0.155 0.769
0.602 0.845 0.231
0.780 0.014 0.748
0.220 0.986 0.252
0.468 0.734 0.748
0.532 0.266 0.252
0.225 0.975 0.951
0.775 0.025 0.049
0.730 0.461 0.239
0.270 0.539 0.761
0.009 0.778 0.239
0.991 0.222 0.761
```

Calculated values
* polymorph energy (0 for the lowest one): 0 meV/atom
* total DFT energy (no corrections): -4.418 eV/atom
* formation energy from the elements: 0.194 eV/atom

=====

Entry 3:
The following is a PBE calculation of a relaxed structure of Tb4PrTm7, from Alexandria.

Geometry as POSCAR:
```
Tb4PrTm7
1.0
-5.296 -0.274 2.398
-6.310 -5.885 -7.547
-1.161 -5.320 3.890
Tb Pr Tm
4 1 7
direct
0.632 0.225 0.510
0.368 0.775 0.490
0.756 0.680 0.808
0.244 0.320 0.192
0.000 0.000 0.000
0.789 0.923 0.499
0.211 0.077 0.501
0.061 0.672 0.206
0.939 0.328 0.794
0.365 0.502 0.767
0.500 0.000 0.000
0.635 0.498 0.233
```

Calculated values
* polymorph energy (0 for the lowest one): 198 meV/atom
* total DFT energy (no corrections): -4.273 eV/atom
* formation energy from the elements: 0.277 eV/atom

=====

Entry 4:
The following is a PBE calculation of a relaxed structure of TbPr5Tm5, from Alexandria.

Geometry as POSCAR:
```
TbPr5Tm5
1.0
5.978 0.000 0.000
-2.989 9.488 0.365
0.000 -2.876 6.463
Tb Pr Tm
1 5 5
direct
0.000 0.000 0.000
0.824 0.648 0.068
0.824 0.648 0.579
0.500 0.000 0.000
0.176 0.352 0.421
0.176 0.352 0.932
0.669 0.337 0.169
0.621 0.241 0.621
0.000 0.000 0.500
0.379 0.759 0.379
0.331 0.663 0.831
```

Calculated values
* total DFT energy (no corrections): -4.364 eV/atom
* formation energy from the elements: 0.262 eV/atom

=====

Entry 5:
The following is a PBE calculation of a relaxed structure of TbPr6Tm2, from Alexandria.

Geometry as POSCAR:
```
TbPr6Tm2
1.0
6.284 -0.138 -0.133
1.164 10.026 1.401
1.164 1.725 9.975
Tb Pr Tm
2 12 4
direct
0.250 0.101 0.899
0.750 0.899 0.101
0.486 0.688 0.409
0.014 0.591 0.312
0.514 0.312 0.591
0.986 0.409 0.688
0.653 0.077 0.357
0.847 0.643 0.923
0.347 0.923 0.643
0.153 0.357 0.077
0.319 0.740 0.021
0.181 0.979 0.260
0.681 0.260 0.979
0.819 0.021 0.740
0.415 0.564 0.768
0.085 0.232 0.436
0.585 0.436 0.232
0.915 0.768 0.564
```

Calculated values
* polymorph energy (0 for the lowest one): 0 meV/atom
* total DFT energy (no corrections): -4.613 eV/atom
* formation energy from the elements: 0.082 eV/atom

=====

Entry 6:
The following is a PBE calculation of a relaxed structure of Tb3Pr6Tm2, from Alexandria.

Geometry as POSCAR:
```
Tb3Pr6Tm2
1.0
6.394 -1.455 2.235
-1.579 5.954 -0.312
3.068 -1.725 11.549
Tb Pr Tm
3 6 2
direct
0.000 0.000 0.000
0.186 0.976 0.633
0.814 0.024 0.367
0.924 0.507 0.182
0.373 0.894 0.273
0.076 0.493 0.818
0.627 0.106 0.727
0.273 0.436 0.452
0.727 0.564 0.548
0.554 0.687 0.900
0.446 0.313 0.100
```

Calculated values
* polymorph energy (0 for the lowest one): 0 meV/atom
* total DFT energy (no corrections): -4.600 eV/atom
* formation energy from the elements: 0.083 eV/atom

=====

Entry 7:
The following is a PBE calculation of a relaxed structure of TbPr2Tm2, from Alexandria.

Geometry as POSCAR:
```
TbPr2Tm2
1.0
6.242 0.000 0.000
0.000 6.881 0.000
0.000 -3.440 8.142
Tb Pr Tm
2 4 4
direct
0.000 0.000 0.000
0.500 0.000 0.000
0.750 0.399 0.798
0.750 0.829 0.659
0.250 0.601 0.202
0.250 0.171 0.341
0.750 0.409 0.340
0.250 0.069 0.660
0.250 0.591 0.660
0.750 0.931 0.340
```

Calculated values
* polymorph energy (0 for the lowest one): 261 meV/atom
* total DFT energy (no corrections): -4.333 eV/atom
* formation energy from the elements: 0.293 eV/atom

=====

Entry 8:
The following is a PBE calculation of a relaxed structure of TbPr12Tm5, from Alexandria.

Geometry as POSCAR:
```
TbPr12Tm5
1.0
-2.728 14.317 4.888
-7.496 7.591 -2.291
-3.033 -1.861 3.758
Tb Pr Tm
1 12 5
direct
0.000 0.000 0.000
0.835 0.000 0.500
0.165 0.000 0.500
0.663 0.000 0.000
0.337 0.000 0.000
0.331 0.666 0.000
0.002 0.666 0.000
0.998 0.334 0.000
0.669 0.334 0.000
0.497 0.333 0.500
0.831 0.667 0.500
0.169 0.333 0.500
0.503 0.667 0.500
0.500 0.000 0.500
0.167 0.666 0.500
0.833 0.334 0.500
0.667 0.666 0.000
0.333 0.334 0.000
```

Calculated values
* total DFT energy (no corrections): -4.659 eV/atom
* formation energy from the elements: 0.027 eV/atom